1.
{
  "formula": "ZrTeP2",
  "functional": "meta-GGA SCAN",
  "state": "single point on PBEsol structure",
  "cell": [[5.967, 0.000, 0.000], [0.000, 7.143, 0.000], [0.000, 0.000, 3.416]],
  "species": ["Zr", "Zr", "Te", "Te", "P", "P", "P", "P"],
  "fractional_positions": [[0.000, 0.000, 0.000], [0.500, 0.500, 0.000], [0.000, 0.500, 0.000], [0.500, 0.000, 0.000], [0.250, 0.250, 0.500], [0.250, 0.750, 0.500], [0.750, 0.250, 0.500], [0.750, 0.750, 0.500]],
  "e_form_raw_kj_per_mol_atoms": -10,
  "sg": "Cmmm, No. 65",
  "final_energy_ev_per_cell": -178.34
}

***

2.
{
  "formula": "Rb3InBr6",
  "functional": "meta-GGA SCAN",
  "state": "single point on PBEsol structure",
  "cell": [[0.000, 5.807, 5.807], [5.807, 0.000, 5.807], [5.807, 5.807, 0.000]],
  "species": ["Rb", "Rb", "Rb", "In", "Br", "Br", "Br", "Br", "Br", "Br"],
  "fractional_positions": [[0.000, 0.000, 0.000], [0.250, 0.250, 0.250], [0.750, 0.750, 0.750], [0.500, 0.500, 0.500], [0.271, 0.271, 0.729], [0.271, 0.729, 0.271], [0.271, 0.729, 0.729], [0.729, 0.271, 0.271], [0.729, 0.271, 0.729], [0.729, 0.729, 0.271]],
  "e_form_raw_kj_per_mol_atoms": -146,
  "sg": "Fm-3m, No. 225",
  "final_energy_ev_per_cell": -227.49
}

***

3.
{
  "formula": "LiYAg2",
  "functional": "meta-GGA SCAN",
  "state": "single point on PBEsol structure",
  "cell": [[3.401, 0.000, 0.000], [0.000, 3.401, 0.000], [0.000, 0.000, 6.669]],
  "species": ["Li", "Y", "Ag", "Ag"],
  "fractional_positions": [[0.000, 0.000, 0.000], [0.000, 0.000, 0.500], [0.500, 0.500, 0.212], [0.500, 0.500, 0.788]],
  "sg": "P4/mmm, No. 123",
  "final_energy_ev_per_cell": -94.05
}

***

4.
{
  "formula": "Na2CuBiO",
  "functional": "meta-GGA SCAN",
  "state": "single point on PBEsol structure",
  "cell": [[5.786, 0.000, 0.000], [0.000, 5.786, 0.000], [0.000, 0.000, 3.407]],
  "species": ["Na", "Na", "Cu", "Bi", "O"],
  "fractional_positions": [[0.000, 0.500, 0.000], [0.500, 0.000, 0.000], [0.000, 0.000, 0.000], [0.500, 0.500, 0.500], [0.000, 0.000, 0.500]],
  "e_form_raw_kj_per_mol_atoms": -40,
  "sg": "P4/mmm, No. 123",
  "final_energy_ev_per_cell": -110.52
}

***

5.
{
  "formula": "Ta2InTc",
  "functional": "meta-GGA SCAN",
  "state": "single point on PBEsol structure",
  "cell": [[6.498, 0.000, 0.000], [0.000, 6.498, 0.000], [0.000, 0.000, 6.498]],
  "species": ["Ta", "Ta", "Ta", "Ta", "Ta", "Ta", "Ta", "Ta", "In", "In", "In", "In", "Tc", "Tc", "Tc", "Tc"],
  "fractional_positions": [[0.000, 0.000, 0.000], [0.000, 0.500, 0.500], [0.250, 0.250, 0.250], [0.250, 0.750, 0.750], [0.500, 0.000, 0.500], [0.500, 0.500, 0.000], [0.750, 0.250, 0.750], [0.750, 0.750, 0.250], [0.250, 0.250, 0.750], [0.250, 0.750, 0.250], [0.750, 0.250, 0.250], [0.750, 0.750, 0.750], [0.000, 0.000, 0.500], [0.000, 0.500, 0.000], [0.500, 0.000, 0.000], [0.500, 0.500, 0.500]],
  "sg": "F-43m, No. 216",
  "final_energy_ev_per_cell": -804.52
}

***

6.
{
  "formula": "RhW2Se",
  "functional": "meta-GGA SCAN",
  "state": "single point on PBEsol structure",
  "cell": [[2.938, 0.000, 0.000], [0.000, 2.938, 0.000], [0.000, 0.000, 6.823]],
  "species": ["Rh", "W", "W", "Se"],
  "fractional_positions": [[0.000, 0.000, 0.000], [0.500, 0.500, 0.262], [0.500, 0.500, 0.738], [0.000, 0.000, 0.500]],
  "e_form_raw_kj_per_mol_atoms": 28,
  "sg": "P4/mmm, No. 123",
  "final_energy_ev_per_cell": -192.05
}

***

7.
{
  "formula": "MgMn2Cr",
  "functional": "meta-GGA SCAN",
  "state": "single point on PBEsol structure",
  "cell": [[2.533, 0.000, 0.000], [0.000, 4.011, 0.000], [-1.088, 0.000, 4.919]],
  "species": ["Mg", "Mn", "Mn", "Cr"],
  "fractional_positions": [[0.000, 0.000, 0.000], [0.429, 0.000, 0.510], [0.733, 0.500, 0.267], [0.231, 0.500, 0.706]],
  "sg": "Pm, No. 6",
  "final_energy_ev_per_cell": -58.89
}

***

8.
{
  "formula": "YSc2Cd2",
  "functional": "meta-GGA SCAN",
  "state": "single point on PBEsol structure",
  "cell": [[8.226, 0.000, 0.000], [0.000, 8.226, 0.000], [0.000, 0.000, 3.481]],
  "species": ["Y", "Y", "Sc", "Sc", "Sc", "Sc", "Cd", "Cd", "Cd", "Cd"],
  "fractional_positions": [[0.000, 0.000, 0.000], [0.500, 0.500, 0.000], [0.170, 0.330, 0.500], [0.330, 0.830, 0.500], [0.670, 0.170, 0.500], [0.830, 0.670, 0.500], [0.128, 0.628, 0.000], [0.372, 0.128, 0.000], [0.628, 0.872, 0.000], [0.872, 0.372, 0.000]],
  "sg": "P4/mbm, No. 127",
  "final_energy_ev_per_cell": -237.20
}